Below is an optimized crystal structure of HfTe2RhI, with properties calculated at the PBE-GGA level.

Cell and atoms, written as POSCAR:
```
HfTe2RhI
1.0
5.216 0.000 0.000
0.000 5.216 0.000
0.000 0.000 5.150
Hf Te Rh I
1 2 1 1
Cartesian
0.000 0.000 0.000
0.000 2.608 2.575
2.608 0.000 2.575
2.608 2.608 2.575
2.608 2.608 0.000
```

Properties
- Total moment: 0.042 μB per atom
- Crystal system: tetragonal
- Distance to the lowest polymorph of the same formula: 0.000 eV/atom
- Volume: 140.1 Å³ per cell
- Total DFT energy (no corrections): -4.572 eV per atom
- Raw formation energy: 10.50 kcal/mol of atoms
- Space group: P4/mmm